Computed, not measured: Th2NpSe3 after structural relaxation at the PBE level of DFT.

As for the formation energy (no corrections): -1383 meV/atom. The total energy is -7.756 eV/atom. The space-group type is I4/mmm, No. 139. The calculation puts the total moment at 4.2 μB/f.u.

Cell lengths 9.335, 9.335, 9.335 Å; angles 154.15, 154.15, 36.88 degrees
Element x y z (fractional)
Th 0.668 0.668 0.000
Th 0.332 0.332 0.000
Np 0.000 0.000 0.000
Se 0.500 0.500 0.000
Se 0.836 0.836 0.000
Se 0.164 0.164 0.000